[1]
A plane-wave DFT calculation with PBE-GGA was carried out for a relaxed structure of InGa3Cl.

Cell and atoms, written as POSCAR:
```
InGa3Cl
1.0
-2.3415 4.8104 0.6730
-4.6913 -2.0461 -1.6974
-1.2589 -1.3226 5.0736
Cl Ga In
1 3 1
Direct
0.5000 0.5000 0.5000 Cl
0.0000 0.5000 0.0000 Ga
0.0000 0.0000 0.5000 Ga
0.5000 0.0000 0.0000 Ga
0.0000 0.0000 0.0000 In
```

Output
The energy above the lowest structure with this stoichiometry comes out at 0.0 meV/atom. For the uncorrected formation energy, the calculation gives 0.211 eV/atom. Its space group is Pm-3m. The density of states at the Fermi level comes out at 3.024 states/eV/f.u.

---

[2]
A plane-wave DFT calculation with PBE-GGA was carried out for a relaxed structure of Dy4Mg3In.

Cell and atoms, written as POSCAR:
```
Dy4Mg3In
1.0
3.4474 0.0000 0.0000
0.0000 5.0383 0.0000
0.0000 0.0000 12.6162
Dy Mg In
4 3 1
Direct
0.5000 0.5000 0.3270 Dy
0.0000 0.5000 0.8299 Dy
0.0000 0.0000 0.1699 Dy
0.5000 0.0000 0.6736 Dy
0.0000 0.5000 0.5649 Mg
0.0000 0.0000 0.4335 Mg
0.5000 0.0000 0.9341 Mg
0.5000 0.5000 0.0671 In
```

Output
The energy above the lowest structure with this stoichiometry comes out at 63.7 meV/atom. Its space group is Pmm2. The density of states at the Fermi level comes out at 7.133 states/eV/f.u. The formation energy comes out at -1.08 eV per formula unit.

---

[3]
A plane-wave DFT calculation with PBE-GGA was carried out for a relaxed structure of In7Bi5.

Cell and atoms, written as POSCAR:
```
In7Bi5
1.0
-3.2799 4.5948 1.1252
-6.9007 0.1984 -6.2004
-7.1230 -2.2209 3.0307
In Bi
7 5
Direct
0.0024 0.9958 0.9994 In
0.3963 0.9224 0.2849 In
0.8457 0.8422 0.4665 In
0.2564 0.7286 0.7587 In
0.0962 0.5712 0.2364 In
0.5028 0.4856 0.5089 In
0.1505 0.1770 0.5220 In
0.6407 0.6856 0.0331 Bi
0.9107 0.4601 0.7185 Bi
0.3429 0.3081 0.0060 Bi
0.7536 0.2694 0.2234 Bi
0.6019 0.0541 0.7421 Bi
```

Output
Its space group is Cm. The density of states at the Fermi level comes out at 6.152 states/eV/f.u. The formation energy comes out at 0.57 eV per formula unit.

---

[4]
A plane-wave DFT calculation with PBE-GGA was carried out for a relaxed structure of BaHo3Os.

Cell and atoms, written as POSCAR:
```
BaHo3Os
1.0
5.5288 0.0000 0.0000
0.0000 5.5288 0.0000
0.0000 0.0000 5.5288
Os Ho Ba
1 3 1
Direct
0.0000 0.0000 0.0000 Os
0.0000 0.5000 0.0000 Ho
0.0000 0.0000 0.5000 Ho
0.5000 0.0000 0.0000 Ho
0.5000 0.5000 0.5000 Ba
```

Output
Its space group is Pm-3m. The density of states at the Fermi level comes out at 4.860 states/eV/f.u. The formation energy comes out at -0.32 eV per formula unit.

---

[5]
A plane-wave DFT calculation with PBE-GGA was carried out for a relaxed structure of NaMoOs3.

Cell and atoms, written as POSCAR:
```
NaMoOs3
1.0
-2.2324 -3.3111 -2.5719
0.7717 -3.1885 3.4350
-4.1210 1.1966 2.0365
Na Mo Os
1 1 3
Direct
0.5000 0.5000 0.5000 Na
0.0000 0.0000 0.0000 Mo
0.0000 0.5000 0.0000 Os
0.0000 0.0000 0.5000 Os
0.5000 0.0000 0.0000 Os
```

Output
The energy above the lowest structure with this stoichiometry comes out at 0.0 meV/atom. Its space group is Pm-3m. The density of states at the Fermi level comes out at 6.870 states/eV/f.u. The formation energy comes out at 9.93 eV per formula unit.

---

[6]
A plane-wave DFT calculation with PBE-GGA was carried out for a relaxed structure of LiPdI2O.

Cell and atoms, written as POSCAR:
```
LiPdI2O
1.0
5.4165 0.0000 0.0000
0.0000 5.4165 0.0000
0.0000 0.0000 3.4361
I O Pd Li
2 1 1 1
Direct
0.0000 0.5000 0.0000 I
0.5000 0.0000 0.0000 I
0.0000 0.0000 0.5000 O
0.5000 0.5000 0.5000 Pd
0.0000 0.0000 0.0000 Li
```

Output
The energy above the lowest structure with this stoichiometry comes out at 448.0 meV/atom. For the uncorrected formation energy, the calculation gives 0.089 eV/atom. Its space group is P4/mmm. The density of states at the Fermi level comes out at 8.231 states/eV/f.u.